1.
# InSnC2

Crystalline InSnC2 at its relaxed geometry (PBE-GGA, Alexandria via LeMat-Bulk).

- offset from the most stable computed form (meV per atom) = 0

a b c (Å): 5.159 5.159 10.158
angles (deg): 90.00 90.00 90.00
Space group I-42d (No. 122)
Inequivalent atoms, fractional coordinates:
1 In 0.000 0.000 0.000 x4
2 Sn 0.000 0.000 0.500 x4
3 C 0.240 0.250 0.625 x8

***

2.
# In2SnC

Crystalline In2SnC at its relaxed geometry (PBE-GGA, Alexandria via LeMat-Bulk).

a b c (Å): 7.055 7.055 7.055
angles (deg): 90.00 90.00 90.00
Space group Fm-3m (No. 225)
Inequivalent atoms, fractional coordinates:
1 In 0.250 0.250 0.250 x8
2 Sn 0.000 0.000 0.000 x4
3 C 0.000 0.000 0.500 x4

***

3.
# ZnInSn2C

Crystalline ZnInSn2C at its relaxed geometry (PBE-GGA, Alexandria via LeMat-Bulk).

a b c (Å): 5.367 5.367 3.739
angles (deg): 90.00 90.00 90.00
Space group P4/mmm (No. 123)
Inequivalent atoms, fractional coordinates:
1 Zn 0.000 0.000 0.000 x1
2 In 0.500 0.500 0.000 x1
3 Sn 0.000 0.500 0.500 x2
4 C 0.000 0.000 0.500 x1

***

4.
# SrIn3C

Crystalline SrIn3C at its relaxed geometry (PBE-GGA, Alexandria via LeMat-Bulk).

- offset from the most stable computed form (meV per atom) = 1407

a b c (Å): 6.361 6.361 6.361
angles (deg): 90.00 90.00 90.00
Space group Pm-3m (No. 221)
Inequivalent atoms, fractional coordinates:
1 Sr 0.000 0.000 0.000 x1
2 In 0.000 0.000 0.500 x3
3 C 0.500 0.500 0.500 x1

***

Number 1: formation energy from the elements 428 kJ/mol of formula units, energy -83.00 eV/cell. Number 2: formation energy from the elements 523 kJ/mol of formula units, energy -53.14 eV/cell. Number 3: formation energy from the elements 287 kJ/mol of formula units, energy -18.27 eV/cell. Number 4: formation energy from the elements 967 kJ/mol of formula units, energy -9.09 eV/cell.